NbTcMo2Ir | PBE | relaxed

Summary:
**Formation energy from the elements**: 1.652 eV/atom
**Magnetization**: 1.67 μB per formula unit

Cell lengths 4.6858, 4.6858, 4.8018 Å; angles 90.00, 90.00, 90.00 degrees
Last column: nearest neighbours and their distance in Å.
Positions (direct):
Nb 0.0000 0.0000 0.0000  2 Ir 2.40
Tc 0.5000 0.5000 0.0000  4 Nb 3.31, 8 Mo 3.35
Mo 0.0000 0.5000 0.5000  2 Ir 2.34
Mo 0.5000 0.0000 0.5000  2 Ir 2.34
Ir 0.0000 0.0000 0.5000  4 Mo 2.34, 2 Nb 2.40